This record from Alexandria describes an optimized crystal structure of HfTi4Bi. The functional is GGA-PBE.

Structure (extended XYZ):
```
6
Lattice="3.652 0.000 1.056 2.086 4.934 -0.371 0.017 -1.886 6.784" Properties=species:S:1:pos:R:3 pbc="T T T"
Hf 0.000 0.000 0.000
Ti 4.072 0.840 6.448
Ti 3.310 4.203 2.241
Ti 1.683 2.208 1.022
Ti 2.446 -1.155 5.229
Bi 2.878 1.524 3.735
```

energy of formation = -0.081 eV per atom
polymorph energy (0 for the lowest one) = 0.00 eV/f.u.
N(E_F) = 1.032 states/eV per atom
uncorrected energy = -45.90 eV per formula unit